# 1
Below is MnSn2Pd at its PBEsol-relaxed geometry, with properties calculated at the SCAN level.

DOS(E_F) in states/eV per atom: 0.70
Total energy in eV per formula unit: -122.98
Formation energy from the elements in eV/atom: -0.028
Magnetic moment in μB per cell: 15.49

Lattice parameters (Å, degrees): 6.5413 6.5413 6.5413 90.00 90.00 90.00
Last column: nearest neighbours and their distance in Å.
Space group Fm-3m (No. 225)
One atom of each set of equivalent atoms:
Mn1 0.0000 0.0000 0.0000  8 Sn 2.83
Sn1 0.2500 0.2500 0.2500  4 Mn 2.83, 4 Pd 2.83
Pd1 0.0000 0.0000 0.5000  8 Sn 2.83

=====

# 2
Below is CdTcSb at its PBEsol-relaxed geometry, with properties calculated at the SCAN level.

DOS(E_F) in states/eV per atom: 0.02
Energy above the lowest structure with this stoichiometry in meV per atom: 0.0
Total energy in eV per formula unit: -102.20
E_form (uncorrected) in eV/atom: 0.18
Magnetic moment in μB per cell: 0.00

Lattice parameters (Å, degrees): 3.3944 3.3944 9.5768 90.00 90.00 90.00
Last column: nearest neighbours and their distance in Å.
Space group I4mm (No. 107)
One atom of each set of equivalent atoms:
Cd1 0.0000 0.0000 0.0000  5 Tc 2.94-3.10, 5 Sb 2.94-3.03
Tc1 0.0000 0.0000 0.3234  4 Sb 2.71, 4 Cd 2.94
Sb1 0.0000 0.0000 0.6928  4 Tc 2.71, 5 Cd 2.94-3.03

=====

# 3
Below is HfCoBr2 at its PBEsol-relaxed geometry, with properties calculated at the SCAN level.

DOS(E_F) in states/eV per atom: 0.64
Total energy in eV per formula unit: -119.02
E_form (uncorrected) in eV/atom: -0.03
Magnetic moment in μB per cell: 4.75

Lattice parameters (Å, degrees): 3.2702 3.2702 25.3323 90.00 90.00 120.00
Last column: nearest neighbours and their distance in Å.
Space group R-3m (No. 166, hexagonal axes)
One atom of each set of equivalent atoms:
Hf1 0.0000 0.0000 0.0000  6 Br 2.71
Co1 0.0000 0.0000 0.5000  2 Br 2.28
Br1 0.0000 0.0000 0.4101  1 Co 2.28

=====

# 4
Below is LaB5HO10 at its PBEsol-relaxed geometry, with properties calculated at the SCAN level.

Total energy in eV per formula unit: -190.07
Magnetic moment in μB per cell: 4.16

Lattice parameters (Å, degrees): 6.5081 10.0393 11.2050 90.00 114.40 90.00
Last column: nearest neighbours and their distance in Å.
Space group P2_1/c (No. 14)
One atom of each set of equivalent atoms:
La1 0.2157 0.1336 0.3606  8 O 2.41-2.67
B1 0.0067 0.7155 0.4338  3 O 1.36-1.38
B2 0.2620 0.6316 0.1094  4 O 1.45-1.50
B3 0.2984 0.0272 0.7884  3 O 1.36-1.39
B4 0.3194 0.6776 0.8985  4 O 1.46-1.49
B5 0.4267 0.1540 0.1521  4 O 1.45-1.48
H1 0.3036 0.6267 0.7163  1 O 0.98
O1 0.0649 0.7243 0.0529  2 B 1.37-1.50
O2 0.1384 0.7230 0.3645  2 B 1.38-1.47
O3 0.1718 0.5222 0.1631  2 B 1.39-1.48
O4 0.1877 0.1455 0.1289  2 B 1.36-1.47
O5 0.2097 0.1283 0.8336  1 B 1.36
O6 0.2805 0.5865 0.7900  1 H 0.98
O7 0.3300 0.5880 0.0055  2 B 1.47-1.48
O8 0.4567 0.6960 0.2100  2 B 1.45-1.47
O9 0.4592 0.2445 0.5655  2 B 1.48-1.49
O10 0.4964 0.0218 0.1316  2 B 1.36-1.45

=====

# 5
Below is Pr3TaCl3O6 at its PBEsol-relaxed geometry, with properties calculated at the SCAN level.

DOS(E_F) in states/eV per atom: 0.24
Total energy in eV per formula unit: -298.63
E_form (uncorrected) in eV/atom: -3.13
Magnetic moment in μB per cell: 2.05

Lattice parameters (Å, degrees): 9.3905 9.3905 5.2735 90.00 90.00 120.00
Last column: nearest neighbours and their distance in Å.
Space group P6_3/m (No. 176)
One atom of each set of equivalent atoms:
Pr1 0.0916 0.6898 0.2500  6 O 2.42-2.60
Ta1 0.3333 0.6667 0.7500  6 O 1.98
Cl1 0.0519 0.8128 0.7500  4 Pr 2.96-3.01, 4 O 3.05-3.06
O1 0.1574 0.5193 0.5116  1 Ta 1.98

=====

# 6
Below is Li4Si2NiO7 at its PBEsol-relaxed geometry, with properties calculated at the SCAN level.

DOS(E_F) in states/eV per atom: 0.00
Energy above the lowest structure with this stoichiometry in meV per atom: 0.0
Total energy in eV per formula unit: -124.67
E_form (uncorrected) in eV/atom: -2.52
Magnetic moment in μB per cell: 8.00

Lattice parameters (Å, degrees): 13.0650 5.4275 7.8876 90.00 95.47 90.00
Last column: nearest neighbours and their distance in Å.
Space group Cc (No. 9)
One atom of each set of equivalent atoms:
Li1 0.0000 0.1469 0.0000  4 O 1.95-2.02
Li2 0.0696 0.3312 0.3496  4 O 1.89-2.00
Li3 0.2034 0.3415 0.0689  4 O 1.90-2.09
Li4 0.2757 0.1823 0.4215  4 O 1.89-2.11
Si1 0.1412 0.1693 0.7052  4 O 1.61-1.73
Si2 0.3549 0.3292 0.7795  4 O 1.63-1.69
Ni1 0.4235 0.1596 0.1526  4 O 1.93-1.96
O1 0.0507 0.3100 0.8012  1 Si 1.65
O2 0.1164 0.1193 0.1735  1 Si 1.61
O3 0.1701 0.3188 0.5392  1 Si 1.61
O4 0.2504 0.1882 0.8466  2 Si 1.69-1.73
O5 0.3264 0.3817 0.2403  1 Si 1.64
O6 0.3903 0.1879 0.6106  1 Si 1.64
O7 0.4459 0.3080 0.9359  1 Si 1.63